DFT (PBE-GGA) results for a relaxed NbSb3Pd crystal.

Properties
Total moment, μB per formula unit: 0.00
Calculated total energy, eV for the cell shown: -24.80
Energy above the lowest structure with this stoichiometry, eV per formula unit: 0.00

Unit cell a=5.302 b=5.302 c=5.302 alpha=90.00 beta=90.00 gamma=90.00
Space group Pm-3m (No. 221)
Unique sites:
Nb (0.000, 0.000, 0.000) x1
Sb (0.000, 0.000, 0.500) x3
Pd (0.500, 0.500, 0.500) x1



DFT (PBE-GGA) results for a relaxed NbSbPd crystal.

Properties
Total moment, μB per formula unit: 0.00
Calculated total energy, eV for the cell shown: -80.82

Unit cell a=3.920 b=12.756 c=4.506 alpha=90.00 beta=90.00 gamma=90.00
Space group Cmcm (No. 63)
Unique sites:
Nb (0.000, 0.065, 0.250) x4
Sb (0.000, 0.392, 0.250) x4
Pd (0.000, 0.273, 0.750) x4



DFT (PBE-GGA) results for a relaxed NbSbPd crystal.

Properties
Total moment, μB per formula unit: 0.00
Calculated total energy, eV for the cell shown: -80.04

Unit cell a=10.176 b=3.600 c=6.497 alpha=90.00 beta=111.46 gamma=90.00
Space group C2/m (No. 12)
Unique sites:
Nb (0.169, 0.000, 0.333) x4
Sb (0.000, 0.500, 0.000) x2
Sb (0.000, 0.500, 0.500) x2
Pd (0.160, 0.000, 0.826) x4



DFT (PBE-GGA) results for a relaxed NbSiSb2Pd crystal.

Properties
Total moment, μB per formula unit: 0.00
Calculated total energy, eV for the cell shown: -25.80

Unit cell a=5.291 b=5.291 c=4.854 alpha=90.00 beta=90.00 gamma=90.00
Space group P4/mmm (No. 123)
Unique sites:
Nb (0.000, 0.000, 0.000) x1
Si (0.000, 0.000, 0.500) x1
Sb (0.000, 0.500, 0.000) x2
Pd (0.500, 0.500, 0.500) x1



DFT (PBE-GGA) results for a relaxed NbSb2TePd crystal.

Properties
Total moment, μB per formula unit: 0.00
Calculated total energy, eV for the cell shown: -23.83
Energy above the lowest structure with this stoichiometry, eV per formula unit: 0.00

Unit cell a=5.343 b=5.343 c=5.309 alpha=90.00 beta=90.00 gamma=90.00
Space group P4/mmm (No. 123)
Unique sites:
Nb (0.000, 0.000, 0.000) x1
Sb (0.000, 0.500, 0.000) x2
Te (0.000, 0.000, 0.500) x1
Pd (0.500, 0.500, 0.500) x1



DFT (PBE-GGA) results for a relaxed NbSbTe2Pd crystal.

Properties
Total moment, μB per formula unit: 0.00
Calculated total energy, eV for the cell shown: -21.60
Energy above the lowest structure with this stoichiometry, eV per formula unit: 1.42

Unit cell a=5.217 b=5.217 c=5.056 alpha=90.00 beta=90.00 gamma=90.00
Space group P4/mmm (No. 123)
Unique sites:
Nb (0.000, 0.000, 0.000) x1
Sb (0.500, 0.500, 0.000) x1
Te (0.000, 0.500, 0.500) x2
Pd (0.500, 0.500, 0.500) x1